Below is a relaxed structure of SrSnPb2S4, with properties calculated at the PBE-GGA level.

As for the energy relative to the elements, uncorrected: -0.90 eV per atom. For the mass density, the calculation gives 5.8 g/cm³. The crystal system is monoclinic. For the uncorrected energy, the calculation gives -4.60 eV/atom.

The structure belongs to space group P2/m (No. 10); the cell edges are 7.325, 4.229 and 7.336 Å and the angles 90.00°, 109.42° and 90.00°. The distinct sites, in fractional coordinates, are Sr at (0.000, 0.000, 0.000), Sn at (0.000, 0.500, 0.500), Pb at (0.500, 0.000, 0.500), Pb at (0.500, 0.500, 0.000), S at (0.244, 0.000, 0.745) and S at (0.245, 0.500, 0.251).